A plane-wave DFT calculation with PBE was carried out for crystalline FeGeBr3 at its relaxed geometry.

Values from the calculation:
Energy relative to the lowest polymorph listed for this composition: 0.000 eV per formula unit

```
FeGeBr3
1.0
5.103 0.000 0.000
0.000 5.103 0.000
0.000 0.000 5.103
Br Fe Ge
3 1 1
Cartesian
2.552 0.000 0.000
0.000 2.552 0.000
0.000 0.000 2.552
0.000 0.000 0.000
2.552 2.552 2.552
```

=====

A plane-wave DFT calculation with PBE was carried out for crystalline ReTeBr2 at its relaxed geometry.

Values from the calculation:
Energy relative to the lowest polymorph listed for this composition: 0.038 eV per formula unit

```
ReTeBr2
1.0
3.428 0.000 0.000
0.000 7.025 0.159
0.000 2.910 5.691
Re Te Br
1 1 2
Cartesian
0.000 4.636 3.515
1.714 6.605 3.581
1.714 3.507 2.020
0.000 3.063 5.350
```

=====

A plane-wave DFT calculation with PBE was carried out for crystalline Li3AcI6 at its relaxed geometry.

Values from the calculation:
Energy relative to the lowest polymorph listed for this composition: 0.308 eV per formula unit

```
Li3AcI6
1.0
-3.989 2.952 0.817
-3.445 -6.238 5.722
5.365 6.084 4.210
Li I Ac
3 6 1
Cartesian
0.688 4.518 2.513
0.000 0.000 0.000
-3.717 -1.643 3.269
-2.342 -0.430 5.599
2.634 1.425 7.711
0.274 3.228 5.150
0.421 -1.670 8.091
1.499 1.516 1.841
-0.714 -1.579 2.220
0.960 -0.077 4.966
```

=====

DOS at the Fermi energy in states/eV/cell, matching the order above: 9.46, 0.76, 0.00
Total magnetic moment in μB per formula unit, matching the order above: 3.00, 1.02, 0.00